# 1
{
  "formula": "ZrScCu3",
  "functional": "PBE",
  "state": "optimized geometry",
  "crystal_system": "cubic",
  "e_form_ev_per_atom": 0.769,
  "de_polymorph_ev_per_atom": 0.893,
  "total_energy_ev_per_atom": -4.665,
  "lattice_angstrom": [[4.569, 0.000, 0.000], [0.000, 4.569, 0.000], [0.000, 0.000, 4.569]],
  "species": ["Zr", "Sc", "Cu", "Cu", "Cu"],
  "fractional_positions": [[0.000, 0.000, 0.000], [0.500, 0.500, 0.500], [0.000, 0.500, 0.500], [0.500, 0.000, 0.500], [0.500, 0.500, 0.000]]
}

# 2
{
  "formula": "ZrScCu4",
  "functional": "PBE",
  "state": "optimized geometry",
  "crystal_system": "tetragonal",
  "e_form_ev_per_atom": -0.194,
  "de_polymorph_ev_per_atom": 0.000,
  "total_energy_ev_per_atom": -5.404,
  "lattice_angstrom": [[3.302, 0.000, 0.000], [0.000, 3.302, 0.000], [0.000, 0.000, 8.496]],
  "species": ["Zr", "Sc", "Cu", "Cu", "Cu", "Cu"],
  "fractional_positions": [[0.000, 0.000, 0.000], [0.500, 0.500, 0.500], [0.000, 0.000, 0.328], [0.000, 0.000, 0.672], [0.500, 0.500, 0.181], [0.500, 0.500, 0.819]]
}

# 3
{
  "formula": "Zr3ScCu",
  "functional": "PBE",
  "state": "optimized geometry",
  "crystal_system": "cubic",
  "e_form_ev_per_atom": 0.438,
  "de_polymorph_ev_per_atom": 0.000,
  "total_energy_ev_per_atom": -6.776,
  "lattice_angstrom": [[4.967, 0.000, 0.000], [0.000, 4.967, 0.000], [0.000, 0.000, 4.967]],
  "species": ["Zr", "Zr", "Zr", "Sc", "Cu"],
  "fractional_positions": [[0.000, 0.000, 0.500], [0.000, 0.500, 0.000], [0.500, 0.000, 0.000], [0.500, 0.500, 0.500], [0.000, 0.000, 0.000]]
}

# 4
{
  "formula": "ZrSc3Cu4",
  "functional": "PBE",
  "state": "optimized geometry",
  "crystal_system": "tetragonal",
  "e_form_ev_per_atom": -0.230,
  "total_energy_ev_per_atom": -5.720,
  "lattice_angstrom": [[3.252, 0.000, 0.000], [0.000, 3.252, 0.000], [0.000, 0.000, 13.128]],
  "species": ["Zr", "Sc", "Sc", "Sc", "Cu", "Cu", "Cu", "Cu"],
  "fractional_positions": [[0.000, 0.000, 0.000], [0.000, 0.000, 0.252], [0.000, 0.000, 0.500], [0.000, 0.000, 0.748], [0.500, 0.500, 0.129], [0.500, 0.500, 0.376], [0.500, 0.500, 0.624], [0.500, 0.500, 0.871]]
}

# 5
{
  "formula": "ZrSc5Cu4",
  "functional": "PBE",
  "state": "optimized geometry",
  "crystal_system": "tetragonal",
  "e_form_ev_per_atom": -0.222,
  "total_energy_ev_per_atom": -5.881,
  "lattice_angstrom": [[3.233, 0.000, 0.000], [0.000, 3.233, 0.000], [0.000, 0.000, 17.727]],
  "species": ["Zr", "Sc", "Sc", "Sc", "Sc", "Sc", "Cu", "Cu", "Cu", "Cu"],
  "fractional_positions": [[0.000, 0.000, 0.000], [0.500, 0.500, 0.127], [0.500, 0.500, 0.313], [0.500, 0.500, 0.500], [0.500, 0.500, 0.687], [0.500, 0.500, 0.873], [0.000, 0.000, 0.221], [0.000, 0.000, 0.407], [0.000, 0.000, 0.593], [0.000, 0.000, 0.779]]
}

# 6
{
  "formula": "ZrScCu10",
  "functional": "PBE",
  "state": "optimized geometry",
  "crystal_system": "orthorhombic",
  "e_form_ev_per_atom": -0.085,
  "total_energy_ev_per_atom": -4.739,
  "lattice_angstrom": [[4.101, 0.000, 0.000], [0.000, 4.898, 0.000], [0.000, 0.000, 8.439]],
  "species": ["Zr", "Sc", "Cu", "Cu", "Cu", "Cu", "Cu", "Cu", "Cu", "Cu", "Cu", "Cu"],
  "fractional_positions": [[0.000, 0.000, 0.000], [0.000, 0.500, 0.500], [0.000, 0.000, 0.335], [0.000, 0.000, 0.665], [0.000, 0.500, 0.168], [0.000, 0.500, 0.832], [0.500, 0.000, 0.500], [0.500, 0.248, 0.248], [0.500, 0.248, 0.752], [0.500, 0.500, 0.000], [0.500, 0.752, 0.248], [0.500, 0.752, 0.752]]
}

# 7
{
  "formula": "Zr2ScCu2",
  "functional": "PBE",
  "state": "optimized geometry",
  "crystal_system": "tetragonal",
  "e_form_ev_per_atom": 0.307,
  "de_polymorph_ev_per_atom": 0.412,
  "total_energy_ev_per_atom": -6.017,
  "lattice_angstrom": [[-1.993, 1.993, 6.510], [1.993, -1.993, 6.510], [1.993, 1.993, -6.510]],
  "species": ["Zr", "Zr", "Sc", "Cu", "Cu"],
  "fractional_positions": [[0.114, 0.114, 0.000], [0.886, 0.886, 0.000], [0.500, 0.500, 0.000], [0.250, 0.750, 0.500], [0.750, 0.250, 0.500]]
}

# 8
{
  "formula": "ZrSc2Cu",
  "functional": "PBE",
  "state": "optimized geometry",
  "crystal_system": "trigonal",
  "e_form_ev_per_atom": 0.032,
  "de_polymorph_ev_per_atom": 0.163,
  "total_energy_ev_per_atom": -6.295,
  "lattice_angstrom": [[1.611, 0.930, 9.381], [-1.611, 0.930, 9.381], [0.000, -1.860, 9.381]],
  "species": ["Zr", "Sc", "Sc", "Cu"],
  "fractional_positions": [[0.000, 0.000, 0.000], [0.241, 0.241, 0.241], [0.759, 0.759, 0.759], [0.500, 0.500, 0.500]]
}

# 9
{
  "formula": "ZrSc2Cu",
  "functional": "PBE",
  "state": "optimized geometry",
  "crystal_system": "orthorhombic",
  "e_form_ev_per_atom": -0.080,
  "de_polymorph_ev_per_atom": 0.052,
  "total_energy_ev_per_atom": -6.407,
  "lattice_angstrom": [[-1.656, 2.415, 5.154], [1.656, -2.415, 5.154], [1.656, 2.415, -5.154]],
  "species": ["Zr", "Sc", "Sc", "Cu"],
  "fractional_positions": [[0.000, 0.000, 0.000], [0.430, 0.430, 0.000], [0.720, 0.220, 0.500], [0.219, 0.719, 0.500]]
}

# 10
{
  "formula": "ZrSc2Cu",
  "functional": "PBE",
  "state": "optimized geometry",
  "crystal_system": "cubic",
  "e_form_ev_per_atom": 0.151,
  "de_polymorph_ev_per_atom": 0.282,
  "total_energy_ev_per_atom": -6.176,
  "lattice_angstrom": [[0.000, 3.431, 3.431], [3.431, 0.000, 3.431], [3.431, 3.431, 0.000]],
  "species": ["Zr", "Sc", "Sc", "Cu"],
  "fractional_positions": [[0.000, 0.000, 0.000], [0.500, 0.500, 0.500], [0.750, 0.750, 0.750], [0.250, 0.250, 0.250]]
}

# 11
{
  "formula": "Zr3ScCu",
  "functional": "PBE",
  "state": "optimized geometry",
  "crystal_system": "cubic",
  "e_form_ev_per_atom": 1.298,
  "de_polymorph_ev_per_atom": 0.860,
  "total_energy_ev_per_atom": -5.916,
  "lattice_angstrom": [[4.996, 0.000, 0.000], [0.000, 4.996, 0.000], [0.000, 0.000, 4.996]],
  "species": ["Zr", "Zr", "Zr", "Sc", "Cu"],
  "fractional_positions": [[0.000, 0.000, 0.500], [0.000, 0.500, 0.000], [0.500, 0.000, 0.000], [0.000, 0.000, 0.000], [0.500, 0.500, 0.500]]
}

# 12
{
  "formula": "Zr2ScCu6",
  "functional": "PBE",
  "state": "optimized geometry",
  "crystal_system": "trigonal",
  "e_form_ev_per_atom": -0.017,
  "total_energy_ev_per_atom": -5.351,
  "lattice_angstrom": [[5.472, 0.000, 0.000], [-2.736, 4.739, 0.000], [0.000, 0.000, 5.522]],
  "species": ["Zr", "Zr", "Sc", "Cu", "Cu", "Cu", "Cu", "Cu", "Cu"],
  "fractional_positions": [[0.333, 0.667, 0.367], [0.667, 0.333, 0.633], [0.000, 0.000, 0.500], [0.184, 0.368, 0.844], [0.184, 0.816, 0.844], [0.368, 0.184, 0.156], [0.632, 0.816, 0.844], [0.816, 0.184, 0.156], [0.816, 0.632, 0.156]]
}

# 13
{
  "formula": "ZrSc2Cu",
  "functional": "PBE",
  "state": "optimized geometry",
  "crystal_system": "tetragonal",
  "e_form_ev_per_atom": 0.078,
  "de_polymorph_ev_per_atom": 0.209,
  "total_energy_ev_per_atom": -6.249,
  "lattice_angstrom": [[-2.110, 2.110, 4.550], [2.110, -2.110, 4.550], [2.110, 2.110, -4.550]],
  "species": ["Zr", "Sc", "Sc", "Cu"],
  "fractional_positions": [[0.000, 0.000, 0.000], [0.500, 0.500, 0.000], [0.750, 0.250, 0.500], [0.250, 0.750, 0.500]]
}

# 14
{
  "formula": "ZrSc4Cu5",
  "functional": "PBE",
  "state": "optimized geometry",
  "crystal_system": "tetragonal",
  "e_form_ev_per_atom": -0.243,
  "total_energy_ev_per_atom": -5.679,
  "lattice_angstrom": [[3.230, 0.000, 0.000], [0.000, 3.230, 0.000], [0.000, 0.000, 16.613]],
  "species": ["Zr", "Sc", "Sc", "Sc", "Sc", "Cu", "Cu", "Cu", "Cu", "Cu"],
  "fractional_positions": [[0.000, 0.000, 0.000], [0.000, 0.000, 0.202], [0.000, 0.000, 0.401], [0.000, 0.000, 0.599], [0.000, 0.000, 0.798], [0.500, 0.500, 0.104], [0.500, 0.500, 0.301], [0.500, 0.500, 0.500], [0.500, 0.500, 0.699], [0.500, 0.500, 0.896]]
}

# 15
{
  "formula": "ZrSc2Cu",
  "functional": "PBE",
  "state": "optimized geometry",
  "crystal_system": "monoclinic",
  "e_form_ev_per_atom": 0.047,
  "de_polymorph_ev_per_atom": 0.179,
  "total_energy_ev_per_atom": -6.280,
  "lattice_angstrom": [[3.304, 0.000, 0.000], [0.000, 4.482, 0.000], [-1.429, 0.000, 5.653]],
  "species": ["Zr", "Sc", "Sc", "Cu"],
  "fractional_positions": [[0.000, 0.000, 0.000], [0.405, 0.500, 0.742], [0.801, 0.000, 0.457], [0.387, 0.500, 0.233]]
}

# 16
{
  "formula": "ZrSc2Cu",
  "functional": "PBE",
  "state": "optimized geometry",
  "crystal_system": "tetragonal",
  "e_form_ev_per_atom": -0.131,
  "de_polymorph_ev_per_atom": 0.000,
  "total_energy_ev_per_atom": -6.458,
  "lattice_angstrom": [[3.203, 0.000, 0.000], [0.000, 3.203, 0.000], [0.000, 0.000, 7.993]],
  "species": ["Zr", "Sc", "Sc", "Cu"],
  "fractional_positions": [[0.000, 0.000, 0.000], [0.500, 0.500, 0.286], [0.500, 0.500, 0.714], [0.000, 0.000, 0.500]]
}

# 17
{
  "formula": "Zr2ScCu3",
  "functional": "PBE",
  "state": "optimized geometry",
  "crystal_system": "tetragonal",
  "e_form_ev_per_atom": -0.158,
  "de_polymorph_ev_per_atom": 0.000,
  "total_energy_ev_per_atom": -6.111,
  "lattice_angstrom": [[3.252, 0.000, 0.000], [0.000, 3.252, 0.000], [0.000, 0.000, 9.924]],
  "species": ["Zr", "Zr", "Sc", "Cu", "Cu", "Cu"],
  "fractional_positions": [[0.000, 0.000, 0.167], [0.000, 0.000, 0.833], [0.000, 0.000, 0.500], [0.500, 0.500, 0.000], [0.500, 0.500, 0.336], [0.500, 0.500, 0.664]]
}

# 18
{
  "formula": "Zr2ScCu2",
  "functional": "PBE",
  "state": "optimized geometry",
  "crystal_system": "tetragonal",
  "e_form_ev_per_atom": 0.062,
  "de_polymorph_ev_per_atom": 0.166,
  "total_energy_ev_per_atom": -6.262,
  "lattice_angstrom": [[7.808, 0.000, 0.000], [0.000, 7.808, 0.000], [0.000, 0.000, 3.103]],
  "species": ["Zr", "Zr", "Zr", "Zr", "Sc", "Sc", "Cu", "Cu", "Cu", "Cu"],
  "fractional_positions": [[0.158, 0.342, 0.000], [0.342, 0.842, 0.000], [0.658, 0.158, 0.000], [0.842, 0.658, 0.000], [0.000, 0.000, 0.000], [0.500, 0.500, 0.000], [0.137, 0.637, 0.500], [0.363, 0.137, 0.500], [0.637, 0.863, 0.500], [0.863, 0.363, 0.500]]
}

# 19
{
  "formula": "ZrSc2Cu",
  "functional": "PBE",
  "state": "optimized geometry",
  "crystal_system": "tetragonal",
  "e_form_ev_per_atom": 0.095,
  "de_polymorph_ev_per_atom": 0.226,
  "total_energy_ev_per_atom": -6.232,
  "lattice_angstrom": [[-2.141, 2.141, 4.416], [2.141, -2.141, 4.416], [2.141, 2.141, -4.416]],
  "species": ["Zr", "Sc", "Sc", "Cu"],
  "fractional_positions": [[0.000, 0.000, 0.000], [0.250, 0.750, 0.500], [0.750, 0.250, 0.500], [0.500, 0.500, 0.000]]
}

# 20
{
  "formula": "ZrScCu3",
  "functional": "PBE",
  "state": "optimized geometry",
  "crystal_system": "monoclinic",
  "e_form_ev_per_atom": -0.124,
  "de_polymorph_ev_per_atom": 0.000,
  "total_energy_ev_per_atom": -5.558,
  "lattice_angstrom": [[7.293, -2.244, 0.000], [7.293, 2.244, 0.000], [-1.320, 0.000, 5.056]],
  "species": ["Zr", "Zr", "Sc", "Sc", "Cu", "Cu", "Cu", "Cu", "Cu", "Cu"],
  "fractional_positions": [[0.112, 0.112, 0.205], [0.888, 0.888, 0.795], [0.329, 0.329, 0.205], [0.671, 0.671, 0.795], [0.068, 0.068, 0.682], [0.265, 0.265, 0.652], [0.480, 0.480, 0.727], [0.520, 0.520, 0.273], [0.735, 0.735, 0.348], [0.932, 0.932, 0.318]]
}